[1]
Compound: HfZrZn3
Source: the Alexandria database
Functional: GGA-PBEsol
Structure: relaxed

Energy of formation   1165.4 meV per atom
Theoretical density   6.99 Mg/m³
Symmetry   No. 221
Energy   -3.702 eV per atom

```
data_HfZrZn3
_cell_length_a 4.801
_cell_length_b 4.801
_cell_length_c 4.801
_cell_angle_alpha 90.00
_cell_angle_beta 90.00
_cell_angle_gamma 90.00
_symmetry_space_group_name_H-M 'P 1'
_symmetry_Int_Tables_number 1
_symmetry_space_group_name_Hall 'P 1'
loop_
_atom_site_label
_atom_site_type_symbol
_atom_site_fract_x
_atom_site_fract_y
_atom_site_fract_z
Hf1 Hf 0.000 0.000 0.000
Zr1 Zr 0.500 0.500 0.500
Zn1 Zn 0.000 0.500 0.500
Zn2 Zn 0.500 0.000 0.500
Zn3 Zn 0.500 0.500 0.000
```



[2]
Compound: HfZr
Source: the Alexandria database
Functional: GGA-PBEsol
Structure: relaxed

Energy of formation   4.9 meV per atom
Theoretical density   10.20 Mg/m³
Symmetry   No. 187
Energy   -9.792 eV per atom

```
data_HfZr
_cell_length_a 3.168
_cell_length_b 3.168
_cell_length_c 5.049
_cell_angle_alpha 90.00
_cell_angle_beta 90.00
_cell_angle_gamma 120.00
_symmetry_space_group_name_H-M 'P 1'
_symmetry_Int_Tables_number 1
_symmetry_space_group_name_Hall 'P 1'
loop_
_atom_site_label
_atom_site_type_symbol
_atom_site_fract_x
_atom_site_fract_y
_atom_site_fract_z
Hf1 Hf 0.000 0.000 0.000
Zr1 Zr 0.333 0.667 0.500
```



[3]
Compound: Hg
Source: the Alexandria database
Functional: GGA-PBEsol
Structure: relaxed

Energy of formation   227.4 meV per atom
Theoretical density   9.26 Mg/m³
Symmetry   No. 227
Energy   -0.339 eV per atom

```
data_Hg
_cell_length_a 4.668
_cell_length_b 4.668
_cell_length_c 4.668
_cell_angle_alpha 60.00
_cell_angle_beta 60.00
_cell_angle_gamma 60.00
_symmetry_space_group_name_H-M 'P 1'
_symmetry_Int_Tables_number 1
_symmetry_space_group_name_Hall 'P 1'
loop_
_atom_site_label
_atom_site_type_symbol
_atom_site_fract_x
_atom_site_fract_y
_atom_site_fract_z
Hg1 Hg 0.125 0.125 0.125
Hg2 Hg 0.875 0.875 0.875
```



[4]
Compound: Hg
Source: the Alexandria database
Functional: GGA-PBEsol
Structure: relaxed

Energy of formation   12.5 meV per atom
Theoretical density   14.02 Mg/m³
Symmetry   No. 12
Energy   -0.554 eV per atom

```
data_Hg
_cell_length_a 3.166
_cell_length_b 3.166
_cell_length_c 7.838
_cell_angle_alpha 101.01
_cell_angle_beta 101.01
_cell_angle_gamma 68.90
_symmetry_space_group_name_H-M 'P 1'
_symmetry_Int_Tables_number 1
_symmetry_space_group_name_Hall 'P 1'
loop_
_atom_site_label
_atom_site_type_symbol
_atom_site_fract_x
_atom_site_fract_y
_atom_site_fract_z
Hg1 Hg 0.000 0.000 0.000
Hg2 Hg 0.312 0.312 0.667
Hg3 Hg 0.688 0.688 0.333
```



[5]
Compound: Hg
Source: the Alexandria database
Functional: GGA-PBEsol
Structure: relaxed

Energy of formation   36.8 meV per atom
Theoretical density   13.87 Mg/m³
Symmetry   No. 223
Energy   -0.530 eV per atom

```
data_Hg
_cell_length_a 5.770
_cell_length_b 5.770
_cell_length_c 5.770
_cell_angle_alpha 90.00
_cell_angle_beta 90.00
_cell_angle_gamma 90.00
_symmetry_space_group_name_H-M 'P 1'
_symmetry_Int_Tables_number 1
_symmetry_space_group_name_Hall 'P 1'
loop_
_atom_site_label
_atom_site_type_symbol
_atom_site_fract_x
_atom_site_fract_y
_atom_site_fract_z
Hg1 Hg 0.000 0.000 0.000
Hg2 Hg 0.000 0.250 0.500
Hg3 Hg 0.000 0.750 0.500
Hg4 Hg 0.250 0.500 0.000
Hg5 Hg 0.500 0.000 0.250
Hg6 Hg 0.500 0.000 0.750
Hg7 Hg 0.500 0.500 0.500
Hg8 Hg 0.750 0.500 0.000
```



[6]
Compound: Hg
Source: the Alexandria database
Functional: GGA-PBEsol
Structure: relaxed

Energy of formation   34.4 meV per atom
Theoretical density   13.55 Mg/m³
Symmetry   No. 213
Energy   -0.532 eV per atom

```
data_Hg
_cell_length_a 7.892
_cell_length_b 7.892
_cell_length_c 7.892
_cell_angle_alpha 90.00
_cell_angle_beta 90.00
_cell_angle_gamma 90.00
_symmetry_space_group_name_H-M 'P 1'
_symmetry_Int_Tables_number 1
_symmetry_space_group_name_Hall 'P 1'
loop_
_atom_site_label
_atom_site_type_symbol
_atom_site_fract_x
_atom_site_fract_y
_atom_site_fract_z
Hg1 Hg 0.049 0.049 0.049
Hg2 Hg 0.055 0.875 0.695
Hg3 Hg 0.125 0.195 0.445
Hg4 Hg 0.195 0.445 0.125
Hg5 Hg 0.201 0.799 0.299
Hg6 Hg 0.299 0.201 0.799
Hg7 Hg 0.305 0.555 0.625
Hg8 Hg 0.375 0.805 0.945
Hg9 Hg 0.445 0.125 0.195
Hg10 Hg 0.451 0.951 0.549
Hg11 Hg 0.549 0.451 0.951
Hg12 Hg 0.555 0.625 0.305
Hg13 Hg 0.625 0.305 0.555
Hg14 Hg 0.695 0.055 0.875
Hg15 Hg 0.701 0.701 0.701
Hg16 Hg 0.799 0.299 0.201
Hg17 Hg 0.805 0.945 0.375
Hg18 Hg 0.875 0.695 0.055
Hg19 Hg 0.945 0.375 0.805
Hg20 Hg 0.951 0.549 0.451
```



[7]
Compound: Hg
Source: the Alexandria database
Functional: GGA-PBEsol
Structure: relaxed

Energy of formation   11.8 meV per atom
Theoretical density   14.06 Mg/m³
Symmetry   No. 12
Energy   -0.555 eV per atom

```
data_Hg
_cell_length_a 3.323
_cell_length_b 3.323
_cell_length_c 3.014
_cell_angle_alpha 115.53
_cell_angle_beta 115.53
_cell_angle_gamma 102.11
_symmetry_space_group_name_H-M 'P 1'
_symmetry_Int_Tables_number 1
_symmetry_space_group_name_Hall 'P 1'
loop_
_atom_site_label
_atom_site_type_symbol
_atom_site_fract_x
_atom_site_fract_y
_atom_site_fract_z
Hg1 Hg 0.000 0.000 0.000
```



[8]
Compound: Hg
Source: the Alexandria database
Functional: GGA-PBEsol
Structure: relaxed

Energy of formation   11.3 meV per atom
Theoretical density   13.95 Mg/m³
Symmetry   No. 139
Energy   -0.556 eV per atom

```
data_Hg
_cell_length_a 3.393
_cell_length_b 3.393
_cell_length_c 3.393
_cell_angle_alpha 127.44
_cell_angle_beta 127.44
_cell_angle_gamma 77.53
_symmetry_space_group_name_H-M 'P 1'
_symmetry_Int_Tables_number 1
_symmetry_space_group_name_Hall 'P 1'
loop_
_atom_site_label
_atom_site_type_symbol
_atom_site_fract_x
_atom_site_fract_y
_atom_site_fract_z
Hg1 Hg 0.000 0.000 0.000
```



[9]
Compound: Hg
Source: the Alexandria database
Functional: GGA-PBEsol
Structure: relaxed

Energy of formation   10.0 meV per atom
Theoretical density   13.44 Mg/m³
Symmetry   No. 141
Energy   -0.557 eV per atom

```
data_Hg
_cell_length_a 4.318
_cell_length_b 4.318
_cell_length_c 4.318
_cell_angle_alpha 97.07
_cell_angle_beta 97.07
_cell_angle_gamma 138.92
_symmetry_space_group_name_H-M 'P 1'
_symmetry_Int_Tables_number 1
_symmetry_space_group_name_Hall 'P 1'
loop_
_atom_site_label
_atom_site_type_symbol
_atom_site_fract_x
_atom_site_fract_y
_atom_site_fract_z
Hg1 Hg 0.375 0.625 0.750
Hg2 Hg 0.625 0.375 0.250
```



[10]
Compound: Hg
Source: the Alexandria database
Functional: GGA-PBEsol
Structure: relaxed

Energy of formation   21.1 meV per atom
Theoretical density   13.89 Mg/m³
Symmetry   No. 217
Energy   -0.546 eV per atom

```
data_Hg
_cell_length_a 9.666
_cell_length_b 9.666
_cell_length_c 9.666
_cell_angle_alpha 109.47
_cell_angle_beta 109.47
_cell_angle_gamma 109.47
_symmetry_space_group_name_H-M 'P 1'
_symmetry_Int_Tables_number 1
_symmetry_space_group_name_Hall 'P 1'
loop_
_atom_site_label
_atom_site_type_symbol
_atom_site_fract_x
_atom_site_fract_y
_atom_site_fract_z
Hg1 Hg 0.000 0.000 0.000
Hg2 Hg 0.000 0.000 0.677
Hg3 Hg 0.000 0.195 0.388
Hg4 Hg 0.000 0.388 0.195
Hg5 Hg 0.000 0.421 0.698
Hg6 Hg 0.000 0.677 0.000
Hg7 Hg 0.000 0.698 0.421
Hg8 Hg 0.194 0.805 0.805
Hg9 Hg 0.195 0.000 0.388
Hg10 Hg 0.195 0.388 0.000
Hg11 Hg 0.276 0.579 0.579
Hg12 Hg 0.302 0.302 0.724
Hg13 Hg 0.302 0.724 0.302
Hg14 Hg 0.323 0.323 0.323
Hg15 Hg 0.388 0.000 0.195
Hg16 Hg 0.388 0.195 0.000
Hg17 Hg 0.421 0.000 0.698
Hg18 Hg 0.421 0.698 0.000
Hg19 Hg 0.579 0.276 0.579
Hg20 Hg 0.579 0.579 0.276
Hg21 Hg 0.612 0.612 0.806
Hg22 Hg 0.612 0.806 0.612
Hg23 Hg 0.677 0.000 0.000
Hg24 Hg 0.698 0.000 0.421
Hg25 Hg 0.698 0.421 0.000
Hg26 Hg 0.724 0.302 0.302
Hg27 Hg 0.805 0.194 0.805
Hg28 Hg 0.805 0.805 0.194
Hg29 Hg 0.806 0.612 0.612
```



[11]
Compound: Hg
Source: the Alexandria database
Functional: GGA-PBEsol
Structure: relaxed

Energy of formation   0.0 meV per atom
Theoretical density   13.66 Mg/m³
Symmetry   No. 65
Energy   -0.567 eV per atom

```
data_Hg
_cell_length_a 3.077
_cell_length_b 3.077
_cell_length_c 2.941
_cell_angle_alpha 90.00
_cell_angle_beta 90.00
_cell_angle_gamma 118.88
_symmetry_space_group_name_H-M 'P 1'
_symmetry_Int_Tables_number 1
_symmetry_space_group_name_Hall 'P 1'
loop_
_atom_site_label
_atom_site_type_symbol
_atom_site_fract_x
_atom_site_fract_y
_atom_site_fract_z
Hg1 Hg 0.000 0.000 0.000
```



[12]
Compound: Hg
Source: the Alexandria database
Functional: GGA-PBEsol
Structure: relaxed

Energy of formation   24.1 meV per atom
Theoretical density   14.12 Mg/m³
Symmetry   No. 194
Energy   -0.543 eV per atom

```
data_Hg
_cell_length_a 3.240
_cell_length_b 3.240
_cell_length_c 5.191
_cell_angle_alpha 90.00
_cell_angle_beta 90.00
_cell_angle_gamma 120.00
_symmetry_space_group_name_H-M 'P 1'
_symmetry_Int_Tables_number 1
_symmetry_space_group_name_Hall 'P 1'
loop_
_atom_site_label
_atom_site_type_symbol
_atom_site_fract_x
_atom_site_fract_y
_atom_site_fract_z
Hg1 Hg 0.333 0.667 0.250
Hg2 Hg 0.667 0.333 0.750
```